Record 1
A plane-wave DFT calculation with GGA-PBE was carried out for a geometry-optimized GdYGa2Co4 structure.

Values from the calculation:
- Total energy: -5.985 eV per atom
- M_tot: 1.63 μB per cell

The structure in CIF format:
```
data_GdYGa2Co4
_chemical_formula_sum 'Gd1 Y1 Ga2 Co4'
_cell_length_a 4.1367
_cell_length_b 4.1367
_cell_length_c 9.2048
_cell_angle_alpha 90.00
_cell_angle_beta 90.00
_cell_angle_gamma 120.00
_symmetry_space_group_name_H-M 'P -6 m 2'
_symmetry_Int_Tables_number 187
_symmetry_space_group_name_Hall 'P -6 2'
loop_
_atom_site_label
_atom_site_fract_x
_atom_site_fract_y
_atom_site_fract_z
Gd1 0.0000 0.0000 0.0000
Y1 0.3333 0.6667 0.5000
Ga1 0.6667 0.3333 0.2520
Co1 0.0000 0.0000 0.2889
Co2 0.3333 0.6667 0.2103
```

Record 2
A plane-wave DFT calculation with GGA-PBE was carried out for a geometry-optimized MgCoBPt structure.

Values from the calculation:
- Polymorph energy (0 for the lowest one): 0.00 eV/f.u.
- Total energy: -5.228 eV per atom
- M_tot: 0.28 μB per cell

The structure in CIF format:
```
data_MgCoBPt
_chemical_formula_sum 'Mg4 Co4 B4 Pt4'
_cell_length_a 5.709
_cell_length_b 5.709
_cell_length_c 5.709
_cell_angle_alpha 90.00
_cell_angle_beta 90.00
_cell_angle_gamma 90.00
_symmetry_space_group_name_H-M 'F -4 3 m'
_symmetry_Int_Tables_number 216
_symmetry_space_group_name_Hall 'F -4 2 3'
loop_
_atom_site_label
_atom_site_fract_x
_atom_site_fract_y
_atom_site_fract_z
Mg1 0.000 0.000 0.000
Co1 0.250 0.250 0.750
B1 0.000 0.000 0.500
Pt1 0.250 0.250 0.250
```

Record 3
A plane-wave DFT calculation with GGA-PBE was carried out for a geometry-optimized Ho2GaFeI2 structure.

Values from the calculation:
- Total energy: -4.723 eV per atom
- M_tot: 1.01 μB per cell

The structure in CIF format:
```
data_Ho2GaFeI2
_chemical_formula_sum 'Ho2 Ga1 Fe1 I2'
_cell_length_a 4.1499
_cell_length_b 4.1499
_cell_length_c 11.7942
_cell_angle_alpha 90.00
_cell_angle_beta 90.00
_cell_angle_gamma 120.00
_symmetry_space_group_name_H-M 'P 3 m 1'
_symmetry_Int_Tables_number 156
loop_
_symmetry_equiv_pos_as_xyz
'x,y,z'
'-y,x-y,z'
'-x+y,-x,z'
'-y,-x,z'
'-x+y,y,z'
'x,x-y,z'
loop_
_atom_site_label
_atom_site_fract_x
_atom_site_fract_y
_atom_site_fract_z
Ho1 0.0000 0.0000 0.0000
Ho2 0.0000 0.0000 0.3141
Ga1 0.3333 0.6667 0.1610
Fe1 0.6667 0.3333 0.1593
I1 0.3333 0.6667 0.8253
I2 0.6667 0.3333 0.4908
```

Record 4
A plane-wave DFT calculation with GGA-PBE was carried out for a geometry-optimized Li4Ag2SnAs structure.

Values from the calculation:
- Total energy: -3.160 eV per atom

The structure in CIF format:
```
data_Li4Ag2SnAs
_chemical_formula_sum 'Li4 Ag2 Sn1 As1'
_cell_length_a 4.413
_cell_length_b 4.413
_cell_length_c 6.761
_cell_angle_alpha 90.00
_cell_angle_beta 90.00
_cell_angle_gamma 90.00
_symmetry_space_group_name_H-M 'P -4 m 2'
_symmetry_Int_Tables_number 115
loop_
_symmetry_equiv_pos_as_xyz
'x,y,z'
'y,-x,-z'
'-x,-y,z'
'-y,x,-z'
'-x,y,z'
'-y,-x,-z'
'x,-y,z'
'y,x,-z'
loop_
_atom_site_label
_atom_site_fract_x
_atom_site_fract_y
_atom_site_fract_z
Li1 0.000 0.000 0.000
Li2 0.000 0.500 0.229
Li3 0.500 0.500 0.500
Ag1 0.000 0.500 0.757
Sn1 0.000 0.000 0.500
As1 0.500 0.500 0.000
```

Record 5
A plane-wave DFT calculation with GGA-PBE was carried out for a geometry-optimized Er5In4Au structure.

Values from the calculation:
- Total energy: -4.232 eV per atom
- M_tot: 0.05 μB per cell

The structure in CIF format:
```
data_Er5In4Au
_chemical_formula_sum 'Er5 In4 Au1'
_cell_length_a 3.549
_cell_length_b 3.549
_cell_length_c 20.057
_cell_angle_alpha 90.00
_cell_angle_beta 90.00
_cell_angle_gamma 90.00
_symmetry_space_group_name_H-M 'P 4/m m m'
_symmetry_Int_Tables_number 123
_symmetry_space_group_name_Hall '-P 4 2'
loop_
_atom_site_label
_atom_site_fract_x
_atom_site_fract_y
_atom_site_fract_z
Er1 0.000 0.000 0.000
Er2 0.000 0.000 0.206
Er3 0.000 0.000 0.412
In1 0.500 0.500 0.103
In2 0.500 0.500 0.308
Au1 0.500 0.500 0.500
```

Record 6
A plane-wave DFT calculation with GGA-PBE was carried out for a geometry-optimized MgNiPtPb structure.

Values from the calculation:
- Polymorph energy (0 for the lowest one): 0.00 eV/f.u.
- Total energy: -4.417 eV per atom
- M_tot: 0.01 μB per cell

The structure in CIF format:
```
data_MgNiPtPb
_chemical_formula_sum 'Mg4 Ni4 Pt4 Pb4'
_cell_length_a 6.517
_cell_length_b 6.517
_cell_length_c 6.517
_cell_angle_alpha 90.00
_cell_angle_beta 90.00
_cell_angle_gamma 90.00
_symmetry_space_group_name_H-M 'F -4 3 m'
_symmetry_Int_Tables_number 216
_symmetry_space_group_name_Hall 'F -4 2 3'
loop_
_atom_site_label
_atom_site_fract_x
_atom_site_fract_y
_atom_site_fract_z
Mg1 0.000 0.000 0.000
Ni1 0.250 0.250 0.750
Pt1 0.250 0.250 0.250
Pb1 0.000 0.000 0.500
```

Record 7
A plane-wave DFT calculation with GGA-PBE was carried out for a geometry-optimized TlCuGeSe3 structure.

Values from the calculation:
- Polymorph energy (0 for the lowest one): 0.00 eV/f.u.
- Total energy: -3.746 eV per atom

The structure in CIF format:
```
data_TlCuGeSe3
_chemical_formula_sum 'Tl2 Cu2 Ge2 Se6'
_cell_length_a 8.089
_cell_length_b 3.890
_cell_length_c 10.068
_cell_angle_alpha 90.00
_cell_angle_beta 111.29
_cell_angle_gamma 90.00
_symmetry_space_group_name_H-M 'P 1 21/m 1'
_symmetry_Int_Tables_number 11
loop_
_symmetry_equiv_pos_as_xyz
'x,y,z'
'-x,-y,-z'
'-x,y+1/2,-z'
'x,-y+1/2,z'
loop_
_atom_site_label
_atom_site_fract_x
_atom_site_fract_y
_atom_site_fract_z
Tl1 0.244 0.250 0.204
Cu1 0.436 0.250 0.918
Ge1 0.180 0.750 0.643
Se1 0.059 0.750 0.371
Se2 0.249 0.750 0.921
Se3 0.408 0.250 0.666
```

Record 8
A plane-wave DFT calculation with GGA-PBE was carried out for a geometry-optimized Tb3Fe structure.

Values from the calculation:
- ΔH_f (0 K): 261 meV/atom
- Total energy: -5.289 eV per atom
- M_tot: 3.95 μB per cell

The structure in CIF format:
```
data_Tb3Fe
_chemical_formula_sum 'Tb6 Fe2'
_cell_length_a 6.7928
_cell_length_b 6.7928
_cell_length_c 5.1313
_cell_angle_alpha 90.00
_cell_angle_beta 90.00
_cell_angle_gamma 120.00
_symmetry_space_group_name_H-M 'P 63/m m c'
_symmetry_Int_Tables_number 194
_symmetry_space_group_name_Hall '-P 6c 2c'
loop_
_atom_site_label
_atom_site_fract_x
_atom_site_fract_y
_atom_site_fract_z
Tb1 0.1761 0.3522 0.2500
Fe1 0.3333 0.6667 0.7500
```

Record 9
A plane-wave DFT calculation with GGA-PBE was carried out for a geometry-optimized HoSiHO4 structure.

Values from the calculation:
- Polymorph energy (0 for the lowest one): 0.00 eV/f.u.
- Total energy: -7.477 eV per atom
- M_tot: 0.01 μB per cell

The structure in CIF format:
```
data_HoSiHO4
_chemical_formula_sum 'Ho4 Si4 H4 O16'
_cell_length_a 7.664
_cell_length_b 6.453
_cell_length_c 6.759
_cell_angle_alpha 90.00
_cell_angle_beta 112.60
_cell_angle_gamma 90.00
_symmetry_space_group_name_H-M 'P 1 21/c 1'
_symmetry_Int_Tables_number 14
loop_
_symmetry_equiv_pos_as_xyz
'x,y,z'
'-x,-y,-z'
'-x,y+1/2,-z+1/2'
'x,-y+1/2,z+1/2'
loop_
_atom_site_label
_atom_site_fract_x
_atom_site_fract_y
_atom_site_fract_z
Ho1 0.207 0.139 0.112
Si1 0.246 0.607 0.136
H1 0.469 0.686 0.885
O1 0.100 0.701 0.558
O2 0.203 0.063 0.789
O3 0.276 0.034 0.451
O4 0.462 0.712 0.274
```

Record 10
A plane-wave DFT calculation with GGA-PBE was carried out for a geometry-optimized Sc2GaAu structure.

Values from the calculation:
- Total energy: -5.054 eV per atom
- M_tot: 7.76 μB per cell

The structure in CIF format:
```
data_Sc2GaAu
_chemical_formula_sum 'Sc8 Ga4 Au4'
_cell_length_a 6.723
_cell_length_b 6.723
_cell_length_c 6.723
_cell_angle_alpha 90.00
_cell_angle_beta 90.00
_cell_angle_gamma 90.00
_symmetry_space_group_name_H-M 'F -4 3 m'
_symmetry_Int_Tables_number 216
_symmetry_space_group_name_Hall 'F -4 2 3'
loop_
_atom_site_label
_atom_site_fract_x
_atom_site_fract_y
_atom_site_fract_z
Sc1 0.000 0.000 0.000
Sc2 0.250 0.250 0.250
Ga1 0.000 0.000 0.500
Au1 0.250 0.250 0.750
```

Record 11
A plane-wave DFT calculation with GGA-PBE was carried out for a geometry-optimized LaGdP2Pd2O2 structure.

Values from the calculation:
- Total energy: -6.992 eV per atom
- M_tot: 0.00 μB per cell

The structure in CIF format:
```
data_LaGdP2Pd2O2
_chemical_formula_sum 'La1 Gd1 P2 Pd2 O2'
_cell_length_a 4.102
_cell_length_b 4.102
_cell_length_c 8.078
_cell_angle_alpha 90.00
_cell_angle_beta 90.00
_cell_angle_gamma 90.00
_symmetry_space_group_name_H-M 'P 4 m m'
_symmetry_Int_Tables_number 99
loop_
_symmetry_equiv_pos_as_xyz
'x,y,z'
'-y,x,z'
'-x,-y,z'
'y,-x,z'
'-x,y,z'
'y,x,z'
'x,-y,z'
'-y,-x,z'
loop_
_atom_site_label
_atom_site_fract_x
_atom_site_fract_y
_atom_site_fract_z
La1 0.000 0.000 0.000
Gd1 0.500 0.500 0.280
P1 0.000 0.000 0.479
P2 0.500 0.500 0.790
Pd1 0.000 0.500 0.632
O1 0.000 0.500 0.150
```

Record 12
A plane-wave DFT calculation with GGA-PBE was carried out for a geometry-optimized BaPuAgSe3 structure.

Values from the calculation:
- Total energy: -6.285 eV per atom
- M_tot: 9.99 μB per cell

The structure in CIF format:
```
data_BaPuAgSe3
_chemical_formula_sum 'Ba2 Pu2 Ag2 Se6'
_cell_length_a 4.328
_cell_length_b 10.822
_cell_length_c 7.420
_cell_angle_alpha 90.00
_cell_angle_beta 106.76
_cell_angle_gamma 90.00
_symmetry_space_group_name_H-M 'P 1 21/m 1'
_symmetry_Int_Tables_number 11
loop_
_symmetry_equiv_pos_as_xyz
'x,y,z'
'-x,-y,-z'
'-x,y+1/2,-z'
'x,-y+1/2,z'
loop_
_atom_site_label
_atom_site_fract_x
_atom_site_fract_y
_atom_site_fract_z
Ba1 0.247 0.250 0.002
Pu1 0.000 0.000 0.500
Ag1 0.474 0.750 0.435
Se1 0.082 0.750 0.656
Se2 0.365 0.550 0.226
```

Record 13
A plane-wave DFT calculation with GGA-PBE was carried out for a geometry-optimized RbAgTePdSe2 structure.

Values from the calculation:
- Total energy: -3.532 eV per atom

The structure in CIF format:
```
data_RbAgTePdSe2
_chemical_formula_sum 'Rb4 Ag4 Te4 Pd4 Se8'
_cell_length_a 3.835
_cell_length_b 16.201
_cell_length_c 10.704
_cell_angle_alpha 90.00
_cell_angle_beta 90.00
_cell_angle_gamma 90.00
_symmetry_space_group_name_H-M 'C m c m'
_symmetry_Int_Tables_number 63
_symmetry_space_group_name_Hall '-C 2c 2'
loop_
_atom_site_label
_atom_site_fract_x
_atom_site_fract_y
_atom_site_fract_z
Rb1 0.000 0.237 0.250
Ag1 0.000 0.444 0.750
Te1 0.000 0.070 0.750
Pd1 0.000 0.000 0.000
Se1 0.000 0.393 0.519
```

Record 14
A plane-wave DFT calculation with GGA-PBE was carried out for a geometry-optimized LaCuGe2Au structure.

Values from the calculation:
- Total energy: -4.811 eV per atom
- M_tot: 0.00 μB per cell

The structure in CIF format:
```
data_LaCuGe2Au
_chemical_formula_sum 'La2 Cu2 Ge4 Au2'
_cell_length_a 4.323
_cell_length_b 4.323
_cell_length_c 10.621
_cell_angle_alpha 90.00
_cell_angle_beta 90.00
_cell_angle_gamma 90.00
_symmetry_space_group_name_H-M 'I -4 m 2'
_symmetry_Int_Tables_number 119
_symmetry_space_group_name_Hall 'I -4 -2'
loop_
_atom_site_label
_atom_site_fract_x
_atom_site_fract_y
_atom_site_fract_z
La1 0.000 0.000 0.000
Cu1 0.000 0.500 0.250
Ge1 0.000 0.000 0.382
Au1 0.000 0.500 0.750
```

Record 15
A plane-wave DFT calculation with GGA-PBE was carried out for a geometry-optimized MgZrIr2 structure.

Values from the calculation:
- Total energy: -6.926 eV per atom
- M_tot: 0.01 μB per cell

The structure in CIF format:
```
data_MgZrIr2
_chemical_formula_sum 'Mg2 Zr2 Ir4'
_cell_length_a 4.5822
_cell_length_b 4.5822
_cell_length_c 7.9975
_cell_angle_alpha 90.00
_cell_angle_beta 90.00
_cell_angle_gamma 120.00
_symmetry_space_group_name_H-M 'P 63/m m c'
_symmetry_Int_Tables_number 194
_symmetry_space_group_name_Hall '-P 6c 2c'
loop_
_atom_site_label
_atom_site_fract_x
_atom_site_fract_y
_atom_site_fract_z
Mg1 0.0000 0.0000 0.2500
Zr1 0.3333 0.6667 0.2500
Ir1 0.3333 0.6667 0.5867
```

Record 16
A plane-wave DFT calculation with GGA-PBE was carried out for a geometry-optimized KCu structure.

Values from the calculation:
- Polymorph energy (0 for the lowest one): 0.50 eV/f.u.
- Total energy: -1.859 eV per atom

The structure in CIF format:
```
data_KCu
_chemical_formula_sum 'K2 Cu2'
_cell_length_a 4.5879
_cell_length_b 4.5879
_cell_length_c 7.9976
_cell_angle_alpha 90.00
_cell_angle_beta 90.00
_cell_angle_gamma 120.00
_symmetry_space_group_name_H-M 'P 63/m m c'
_symmetry_Int_Tables_number 194
_symmetry_space_group_name_Hall '-P 6c 2c'
loop_
_atom_site_label
_atom_site_fract_x
_atom_site_fract_y
_atom_site_fract_z
K1 0.0000 0.0000 0.0000
Cu1 0.3333 0.6667 0.2500
```

Record 17
A plane-wave DFT calculation with GGA-PBE was carried out for a geometry-optimized Ni4C3 structure.

Values from the calculation:
- Polymorph energy (0 for the lowest one): 0.00 eV/f.u.
- Total energy: -6.594 eV per atom
- M_tot: 0.02 μB per cell

The structure in CIF format:
```
data_Ni4C3
_chemical_formula_sum 'Ni16 C12'
_cell_length_a 6.360
_cell_length_b 4.757
_cell_length_c 8.640
_cell_angle_alpha 90.00
_cell_angle_beta 97.50
_cell_angle_gamma 90.00
_symmetry_space_group_name_H-M 'C 1 2/c 1'
_symmetry_Int_Tables_number 15
loop_
_symmetry_equiv_pos_as_xyz
'x,y,z'
'-x,-y,-z'
'-x,y,-z+1/2'
'x,-y,z+1/2'
'x+1/2,y+1/2,z'
'-x+1/2,-y+1/2,-z'
'-x+1/2,y+1/2,-z+1/2'
'x+1/2,-y+1/2,z+1/2'
loop_
_atom_site_label
_atom_site_fract_x
_atom_site_fract_y
_atom_site_fract_z
Ni1 0.062 0.249 0.466
Ni2 0.247 0.497 0.760
C1 0.000 0.237 0.250
C2 0.247 0.393 0.984
```

Record 18
A plane-wave DFT calculation with GGA-PBE was carried out for a geometry-optimized AlCoPtW structure.

Values from the calculation:
- Polymorph energy (0 for the lowest one): 0.00 eV/f.u.
- Total energy: -7.577 eV per atom
- M_tot: 3.33 μB per cell

The structure in CIF format:
```
data_AlCoPtW
_chemical_formula_sum 'Al4 Co4 Pt4 W4'
_cell_length_a 6.129
_cell_length_b 6.129
_cell_length_c 6.129
_cell_angle_alpha 90.00
_cell_angle_beta 90.00
_cell_angle_gamma 90.00
_symmetry_space_group_name_H-M 'F -4 3 m'
_symmetry_Int_Tables_number 216
_symmetry_space_group_name_Hall 'F -4 2 3'
loop_
_atom_site_label
_atom_site_fract_x
_atom_site_fract_y
_atom_site_fract_z
Al1 0.000 0.000 0.000
Co1 0.250 0.250 0.250
Pt1 0.250 0.250 0.750
W1 0.000 0.000 0.500
```

Record 19
A plane-wave DFT calculation with GGA-PBE was carried out for a geometry-optimized Dy2ThNi9 structure.

Values from the calculation:
- ΔH_f (0 K): -450 meV/atom
- Total energy: -6.010 eV per atom
- M_tot: 0.07 μB per cell

The structure in CIF format:
```
data_Dy2ThNi9
_chemical_formula_sum 'Dy6 Th3 Ni27'
_cell_length_a 4.9754
_cell_length_b 4.9754
_cell_length_c 24.4743
_cell_angle_alpha 90.00
_cell_angle_beta 90.00
_cell_angle_gamma 120.00
_symmetry_space_group_name_H-M 'R -3 m'
_symmetry_Int_Tables_number 166
_symmetry_space_group_name_Hall '-R 3 2"'
loop_
_atom_site_label
_atom_site_fract_x
_atom_site_fract_y
_atom_site_fract_z
Dy1 0.0000 0.0000 0.1401
Th1 0.0000 0.0000 0.0000
Ni1 0.0000 0.0000 0.3331
Ni2 0.0000 0.0000 0.5000
Ni3 0.0009 0.5005 0.9169
```

Record 20
A plane-wave DFT calculation with GGA-PBE was carried out for a geometry-optimized CsZr2 structure.

Values from the calculation:
- Total energy: -5.645 eV per atom
- M_tot: 1.11 μB per cell

The structure in CIF format:
```
data_CsZr2
_chemical_formula_sum 'Cs2 Zr4'
_cell_length_a 4.333
_cell_length_b 4.306
_cell_length_c 13.861
_cell_angle_alpha 90.00
_cell_angle_beta 90.00
_cell_angle_gamma 90.00
_symmetry_space_group_name_H-M 'P m m a'
_symmetry_Int_Tables_number 51
loop_
_symmetry_equiv_pos_as_xyz
'x,y,z'
'-x,-y,-z'
'-x+1/2,-y,z'
'x+1/2,y,-z'
'x+1/2,-y,-z'
'-x+1/2,y,z'
'-x,y,-z'
'x,-y,z'
loop_
_atom_site_label
_atom_site_fract_x
_atom_site_fract_y
_atom_site_fract_z
Cs1 0.250 0.000 0.160
Zr1 0.250 0.000 0.579
Zr2 0.250 0.500 0.422
```